# 1
Density functional theory data (PBE) for an optimized crystal structure of MnTlIr.

a = 6.294 Å, b = 6.294 Å, c = 6.294 Å
α = 90.00°, β = 90.00°, γ = 90.00°
Space group F-43m (No. 216)
Inequivalent atoms, fractional coordinates:
Mn 0.000 0.000 0.000
Tl 0.000 0.000 0.500
Ir 0.250 0.250 0.750

size of the total moment	4.317	μB per formula unit
formation enthalpy at 0 K	413	meV/atom

# 2
Density functional theory data (PBE) for an optimized crystal structure of CaNdRe2O8.

a = 5.9962 Å, b = 5.9962 Å, c = 6.9115 Å
α = 90.00°, β = 90.00°, γ = 120.00°
Space group P-3m1 (No. 164)
Inequivalent atoms, fractional coordinates:
Ca 0.0000 0.0000 0.0000
Nd 0.0000 0.0000 0.5000
Re 0.3333 0.6667 0.8201
O 0.1635 0.3271 0.7383
O 0.3333 0.6667 0.0765

size of the total moment	3.006	μB per formula unit
raw formation energy	-2.00	eV per atom

# 3
Density functional theory data (PBE) for an optimized crystal structure of SmEr2Zn5.

a = 4.844 Å, b = 4.844 Å, c = 14.045 Å
α = 90.00°, β = 90.00°, γ = 90.00°
Space group I4/mmm (No. 139)
Inequivalent atoms, fractional coordinates:
Sm 0.000 0.000 0.000
Er 0.000 0.000 0.267
Zn 0.000 0.000 0.500
Zn 0.000 0.500 0.119

size of the total moment	0.000	μB per formula unit
formation enthalpy at 0 K	-313	meV/atom

# 4
Density functional theory data (PBE) for an optimized crystal structure of Sr2Mg5Sn4.

a = 6.473 Å, b = 11.850 Å, c = 16.813 Å
α = 90.00°, β = 90.00°, γ = 90.00°
Space group Fmmm (No. 69)
Inequivalent atoms, fractional coordinates:
Sr 0.000 0.000 0.148
Mg 0.000 0.000 0.500
Mg 0.250 0.250 0.000
Mg 0.250 0.250 0.250
Sn 0.000 0.132 0.362

size of the total moment	0.000	μB per formula unit
formation enthalpy at 0 K	-253	meV/atom

# 5
Density functional theory data (PBE) for an optimized crystal structure of Ac2LaRuN4.

a = 3.671 Å, b = 12.807 Å, c = 12.810 Å
α = 90.00°, β = 90.00°, γ = 90.00°
Space group Cmcm (No. 63)
Inequivalent atoms, fractional coordinates:
Ac 0.000 0.131 0.042
La 0.000 0.364 0.250
Ru 0.000 0.343 0.750
N 0.000 0.102 0.250
N 0.000 0.222 0.640
N 0.000 0.500 0.000

size of the total moment	0.000	μB per formula unit
raw formation energy	-0.70	eV per atom

# 6
Density functional theory data (PBE) for an optimized crystal structure of PrHo9Tm2.

a = 4.999 Å, b = 4.999 Å, c = 14.996 Å
α = 90.00°, β = 90.00°, γ = 90.00°
Space group P4/mmm (No. 123)
Inequivalent atoms, fractional coordinates:
Pr 0.000 0.000 0.000
Ho 0.000 0.500 0.170
Ho 0.000 0.500 0.500
Ho 0.500 0.500 0.000
Ho 0.500 0.500 0.336
Tm 0.000 0.000 0.335

size of the total moment	0.000	μB per formula unit
formation enthalpy at 0 K	25	meV/atom

# 7
Density functional theory data (PBE) for an optimized crystal structure of CsBaO2.

a = 6.630 Å, b = 6.630 Å, c = 11.508 Å
α = 90.00°, β = 90.00°, γ = 90.00°
Space group I-42d (No. 122)
Inequivalent atoms, fractional coordinates:
Cs 0.000 0.000 0.000
Ba 0.000 0.000 0.500
O 0.189 0.250 0.625

size of the total moment	1.000	μB per formula unit
raw formation energy	-1.50	eV per atom

# 8
Density functional theory data (PBE) for an optimized crystal structure of BeBiAu2.

a = 6.823 Å, b = 6.823 Å, c = 6.823 Å
α = 90.00°, β = 90.00°, γ = 90.00°
Space group Fm-3m (No. 225)
Inequivalent atoms, fractional coordinates:
Be 0.000 0.000 0.000
Bi 0.000 0.000 0.500
Au 0.250 0.250 0.250

size of the total moment	0.000	μB per formula unit
formation enthalpy at 0 K	407	meV/atom

# 9
Density functional theory data (PBE) for an optimized crystal structure of LiMnSi.

a = 3.9595 Å, b = 3.9595 Å, c = 2.4549 Å
α = 90.00°, β = 90.00°, γ = 120.00°
Space group P3m1 (No. 156)
Inequivalent atoms, fractional coordinates:
Li 0.0000 0.0000 0.0000
Mn 0.6667 0.3333 0.3874
Si 0.3333 0.6667 0.7732

size of the total moment	0.123	μB per formula unit
raw formation energy	-0.05	eV per atom

# 10
Density functional theory data (PBE) for an optimized crystal structure of MgGeSF2.

a = 4.100 Å, b = 4.100 Å, c = 5.549 Å
α = 90.00°, β = 90.00°, γ = 90.00°
Space group P4/mmm (No. 123)
Inequivalent atoms, fractional coordinates:
Mg 0.000 0.000 0.000
Ge 0.500 0.500 0.500
S 0.500 0.500 0.000
F 0.000 0.500 0.500

size of the total moment	0.000	μB per formula unit
raw formation energy	-1.40	eV per atom

# 11
Density functional theory data (PBE) for an optimized crystal structure of TiCrB3.

a = 3.769 Å, b = 3.769 Å, c = 3.769 Å
α = 90.00°, β = 90.00°, γ = 90.00°
Space group Pm-3m (No. 221)
Inequivalent atoms, fractional coordinates:
Ti 0.000 0.000 0.000
Cr 0.500 0.500 0.500
B 0.000 0.500 0.500

size of the total moment	0.000	μB per formula unit
formation enthalpy at 0 K	499	meV/atom

# 12
Density functional theory data (PBE) for an optimized crystal structure of In2SbTe.

a = 7.672 Å, b = 7.672 Å, c = 7.672 Å
α = 90.00°, β = 90.00°, γ = 90.00°
Space group F-43m (No. 216)
Inequivalent atoms, fractional coordinates:
In 0.000 0.000 0.000
In 0.250 0.250 0.250
Sb 0.250 0.250 0.750
Te 0.000 0.000 0.500

size of the total moment	0.000	μB per formula unit
raw formation energy	0.10	eV per atom

Repeat the eleventh record exactly.
Density functional theory data (PBE) for an optimized crystal structure of TiCrB3.

a = 3.769 Å, b = 3.769 Å, c = 3.769 Å
α = 90.00°, β = 90.00°, γ = 90.00°
Space group Pm-3m (No. 221)
Inequivalent atoms, fractional coordinates:
Ti 0.000 0.000 0.000
Cr 0.500 0.500 0.500
B 0.000 0.500 0.500

size of the total moment	0.000	μB per formula unit
formation enthalpy at 0 K	499	meV/atom

- The highest size of the total moment belongs to which entry?
  MnTlIr